Entry from the Alexandria database: crystalline Ba8Ir3I3O at its relaxed geometry (PBE).

Unit cell a=10.1537 b=10.1537 c=10.1537 alpha=52.36 beta=52.36 gamma=52.36
Closest atoms and distances in Å follow each position.
Fractional coordinates of all 15 atoms:
Ba: 0.2339 0.2339 0.2339  3 Ir 3.13
Ba: 0.2447 0.7157 0.7157  1 O 2.88, 2 Ir 3.08
Ba: 0.2843 0.2843 0.7553  1 O 2.88, 2 Ir 3.08
Ba: 0.2843 0.7553 0.2843  1 O 2.88, 2 Ir 3.08
Ba: 0.7157 0.2447 0.7157  1 O 2.88, 2 Ir 3.08
Ba: 0.7157 0.7157 0.2447  1 O 2.88, 2 Ir 3.08
Ba: 0.7553 0.2843 0.2843  1 O 2.88, 2 Ir 3.08
Ba: 0.7661 0.7661 0.7661  3 Ir 3.13
Ir: 0.0000 0.0000 0.5000  6 Ba 3.08-3.13
Ir: 0.0000 0.5000 0.0000  6 Ba 3.08-3.13
Ir: 0.5000 0.0000 0.0000  6 Ba 3.08-3.13
I: 0.0000 0.5000 0.5000  6 Ba 3.67-3.79
I: 0.5000 0.0000 0.5000  6 Ba 3.67-3.79
I: 0.5000 0.5000 0.0000  6 Ba 3.67-3.79
O: 0.5000 0.5000 0.5000  6 Ba 2.88

Output
energy relative to the elements, uncorrected	-13.4	eV/f.u.
mass density	5.66	g cm⁻³
calculated volume	40.49	A^3/atom